A plane-wave DFT calculation with PBE was carried out for a relaxed structure of Sc2CuW.

Cell lengths 10.2514, 3.2484, 4.8102 Å; angles 90.00, 117.84, 90.00 degrees
Space group C2/m (No. 12)
Asymmetric unit:
Sc1 0.2295 0.0000 0.2296 x4
Cu1 0.0000 0.5000 0.0000 x2
W1 0.0000 0.0000 0.5000 x2

N(E_F) = 9.4 states/eV/cell
Uncorrected energy = -57.02 eV/cell
V = 17.7 Å³/atom